PBE-GGA LuTeCl, optimized geometry; DFT total energy = -4.8121 eV per atom; formation energy (no corrections) = -1.642 eV/atom
1.0
4.137 0.000 0.000
-2.068 3.582 0.000
0.000 0.000 6.994
Lu Te Cl
1 1 1
direct
0.000 0.000 0.000 Lu
0.333 0.667 0.759 Te
0.667 0.333 0.211 Cl